No. 1
First-principles (PBE-GGA) data for an optimized crystal structure of Ti2CuS4, as listed in the Alexandria database.

Cell and atoms, written as POSCAR:
```
Ti2CuS4
1.0
-2.296 2.296 6.224
2.296 -2.296 6.224
2.296 2.296 -6.224
Ti Cu S
2 1 4
Cartesian
0.000 0.000 1.449 Ti
0.000 0.000 10.998 Ti
0.000 0.000 6.224 Cu
2.296 0.000 0.000 S
0.000 0.000 3.631 S
0.000 2.296 0.000 S
0.000 0.000 8.817 S
```

Properties
- uncorrected formation energy (kJ/mol of atoms) = -36
- space-group type = I4/mmm

---

No. 2
First-principles (PBE-GGA) data for an optimized crystal structure of SmEr5Sc6, as listed in the Alexandria database.

Cell and atoms, written as POSCAR:
```
SmEr5Sc6
1.0
2.951 -5.110 0.000
2.951 5.110 0.000
-1.967 0.000 10.954
Sm Er Sc
1 5 6
Cartesian
0.000 0.000 0.000 Sm
1.968 3.407 5.477 Er
2.951 1.703 0.000 Er
1.968 0.000 5.477 Er
2.951 -1.703 0.000 Er
1.968 -3.407 5.477 Er
0.984 1.705 2.749 Sc
0.003 0.000 8.206 Sc
0.984 -1.705 2.749 Sc
2.952 1.705 8.205 Sc
3.933 0.000 2.748 Sc
2.952 -1.705 8.205 Sc
```

Properties
- space-group type = C2/m
- formation energy from the elements (meV/atom) = 57